## NaHfIn2Os (GGA-PBE)

Data for a relaxed NaHfIn2Os crystal.

a = 5.4449 Å, b = 5.4449 Å, c = 5.4744 Å
α = 90.00°, β = 90.00°, γ = 90.00°
Closest atoms and distances in Å follow each position.
Fractional positions:
Na 0.0000 0.0000 0.0000  2 Hf 2.74
Hf 0.0000 0.0000 0.5000  4 In 2.72, 2 Na 2.74
In 0.0000 0.5000 0.5000  2 Hf 2.72
In 0.5000 0.0000 0.5000  2 Hf 2.72
Os 0.5000 0.5000 0.0000  4 Na 3.85, 8 In 3.86

Energy ... -3.55 eV per atom
ΔE_f ... 2.0468 eV per atom


## KHgPd2S (GGA-PBE)

Data for a relaxed KHgPd2S crystal.

a = 4.5997 Å, b = 4.5997 Å, c = 6.0418 Å
α = 90.00°, β = 90.00°, γ = 90.00°
Closest atoms and distances in Å follow each position.
Fractional positions:
K 0.0000 0.0000 0.0000  2 S 3.02, 4 Hg 3.25
Hg 0.5000 0.5000 0.0000  4 K 3.25
Pd 0.0000 0.5000 0.5000  2 S 2.30
Pd 0.5000 0.0000 0.5000  2 S 2.30
S 0.0000 0.0000 0.5000  4 Pd 2.30

Uncorrected formation energy ... -180 meV/atom
Energy ... -3.36 eV per atom


## Ce10SbPb6 (GGA-PBE)

Data for a relaxed Ce10SbPb6 crystal.

a = 9.6346 Å, b = 9.6346 Å, c = 6.6023 Å
α = 90.00°, β = 90.00°, γ = 120.00°
Closest atoms and distances in Å follow each position.
Fractional positions:
Ce 0.0000 0.2714 0.2534  1 Sb 3.10, 4 Pb 3.27-3.44
Ce 0.0000 0.7286 0.7466  1 Sb 3.10, 4 Pb 3.27-3.44
Ce 0.2714 0.0000 0.2534  1 Sb 3.10, 4 Pb 3.27-3.44
Ce 0.2714 0.2714 0.7466  1 Sb 3.10, 4 Pb 3.27-3.44
Ce 0.3333 0.6667 0.0000  2 Ce 3.30, 6 Pb 3.43
Ce 0.3333 0.6667 0.5000  2 Ce 3.30, 6 Pb 3.43
Ce 0.6667 0.3333 0.0000  2 Ce 3.30, 6 Pb 3.43
Ce 0.6667 0.3333 0.5000  2 Ce 3.30, 6 Pb 3.43
Ce 0.7286 0.0000 0.7466  1 Sb 3.10, 4 Pb 3.27-3.44
Ce 0.7286 0.7286 0.2534  1 Sb 3.10, 4 Pb 3.27-3.44
Sb 0.0000 0.0000 0.0000  6 Ce 3.10
Pb 0.0000 0.3802 0.7502  9 Ce 3.27-3.48
Pb 0.0000 0.6198 0.2498  9 Ce 3.27-3.48
Pb 0.3802 0.0000 0.7502  9 Ce 3.27-3.48
Pb 0.3802 0.3802 0.2498  9 Ce 3.27-3.48
Pb 0.6198 0.0000 0.2498  9 Ce 3.27-3.48
Pb 0.6198 0.6198 0.7502  9 Ce 3.27-3.48

Uncorrected formation energy ... -460 meV/atom
Energy ... -5.50 eV per atom


## LiTiSe2N (GGA-PBE)

Data for a relaxed LiTiSe2N crystal.

a = 4.6902 Å, b = 4.6902 Å, c = 3.5372 Å
α = 90.00°, β = 90.00°, γ = 90.00°
Closest atoms and distances in Å follow each position.
Fractional positions:
Li 0.0000 0.0000 0.0000  2 N 1.77
Ti 0.5000 0.5000 0.5000  8 Se 2.94
Se 0.0000 0.5000 0.0000  2 Li 2.35
Se 0.5000 0.0000 0.0000  2 Li 2.35
N 0.0000 0.0000 0.5000  2 Li 1.77

E above lowest polymorph ... 20.50 kcal/mol of atoms
Uncorrected formation energy ... 506 meV/atom
Energy ... -4.51 eV per atom


## CaMg2Ag (GGA-PBE)

Data for a relaxed CaMg2Ag crystal.

a = 16.5131 Å, b = 8.3059 Å, c = 5.8160 Å
α = 90.00°, β = 90.00°, γ = 90.00°
Closest atoms and distances in Å follow each position.
Fractional positions:
Ca 0.1074 0.2500 0.2469  3 Ag 3.14-3.22, 6 Mg 3.50-3.51
Ca 0.1382 0.7500 0.0425  3 Ag 3.10-3.17
Ca 0.3618 0.2500 0.5425  3 Ag 3.10-3.17
Ca 0.3926 0.7500 0.7469  3 Ag 3.14-3.22, 6 Mg 3.50-3.51
Ca 0.6074 0.2500 0.2531  3 Ag 3.14-3.22, 6 Mg 3.50-3.51
Ca 0.6382 0.7500 0.4575  3 Ag 3.10-3.17
Ca 0.8618 0.2500 0.9575  3 Ag 3.10-3.17
Ca 0.8926 0.7500 0.7531  3 Ag 3.14-3.22, 6 Mg 3.50-3.51
Mg 0.0381 0.0570 0.7469  3 Ag 2.87-2.91, 1 Mg 3.21
Mg 0.0381 0.4430 0.7469  3 Ag 2.87-2.91, 1 Mg 3.21
Mg 0.2131 0.5565 0.5456  3 Ag 2.86-2.88
Mg 0.2131 0.9435 0.5456  3 Ag 2.86-2.88
Mg 0.2869 0.0565 0.0456  3 Ag 2.86-2.88
Mg 0.2869 0.4435 0.0456  3 Ag 2.86-2.88
Mg 0.4619 0.5570 0.2469  3 Ag 2.87-2.91, 1 Mg 3.21
Mg 0.4619 0.9430 0.2469  3 Ag 2.87-2.91, 1 Mg 3.21
Mg 0.5381 0.0570 0.7531  3 Ag 2.87-2.91, 1 Mg 3.21
Mg 0.5381 0.4430 0.7531  3 Ag 2.87-2.91, 1 Mg 3.21
Mg 0.7131 0.5565 0.9544  3 Ag 2.86-2.88
Mg 0.7131 0.9435 0.9544  3 Ag 2.86-2.88
Mg 0.7869 0.0565 0.4544  3 Ag 2.86-2.88
Mg 0.7869 0.4435 0.4544  3 Ag 2.86-2.88
Mg 0.9619 0.5570 0.2531  3 Ag 2.87-2.91, 1 Mg 3.21
Mg 0.9619 0.9430 0.2531  3 Ag 2.87-2.91, 1 Mg 3.21
Ag 0.0682 0.7500 0.5365  6 Mg 2.87-2.89, 3 Ca 3.10-3.16
Ag 0.1851 0.2500 0.7542  6 Mg 2.86-2.91, 2 Ca 3.14-3.17
Ag 0.3149 0.7500 0.2542  6 Mg 2.86-2.91, 2 Ca 3.14-3.17
Ag 0.4318 0.2500 0.0365  6 Mg 2.87-2.89, 3 Ca 3.10-3.16
Ag 0.5682 0.7500 0.9635  6 Mg 2.87-2.89, 3 Ca 3.10-3.16
Ag 0.6851 0.2500 0.7458  6 Mg 2.86-2.91, 2 Ca 3.14-3.17
Ag 0.8149 0.7500 0.2458  6 Mg 2.86-2.91, 2 Ca 3.14-3.17
Ag 0.9318 0.2500 0.4635  6 Mg 2.87-2.89, 3 Ca 3.10-3.16

Energy ... -2.24 eV per atom
ΔE_f ... -0.2279 eV per atom


## SrPuSiO5 (GGA-PBE)

Data for a relaxed SrPuSiO5 crystal.

a = 5.9255 Å, b = 5.9255 Å, c = 7.6734 Å
α = 102.64°, β = 102.64°, γ = 107.09°
Closest atoms and distances in Å follow each position.
Fractional positions:
Sr 0.1585 0.8415 0.7500  5 O 2.43-2.64
Sr 0.8415 0.1585 0.2500  5 O 2.43-2.64
Pu 0.5000 0.5000 0.0000  6 O 2.09-2.31
Pu 0.5000 0.5000 0.5000  6 O 2.09-2.31
Si 0.1816 0.8184 0.2500  4 O 1.66
Si 0.8184 0.1816 0.7500  4 O 1.66
O 0.0923 0.2411 0.9008  1 Si 1.66
O 0.1760 0.6110 0.3661  1 Si 1.66
O 0.2411 0.0923 0.4008  1 Si 1.66
O 0.3890 0.8240 0.1339  1 Si 1.66
O 0.4131 0.5869 0.7500  2 Pu 2.09
O 0.5869 0.4131 0.2500  2 Pu 2.09
O 0.6110 0.1760 0.8661  1 Si 1.66
O 0.7589 0.9077 0.5992  1 Si 1.66
O 0.8240 0.3890 0.6339  1 Si 1.66
O 0.9077 0.7589 0.0992  1 Si 1.66

Uncorrected formation energy ... -2984 meV/atom
Energy ... -8.76 eV per atom


Which value of energy does entry 1 give? -3.55 eV per atom